# 1
Cu2BiPO6 | meta-GGA SCAN | single point on PBEsol structure

Cell and atoms, written as CIF:
```
data_Cu2BiPO6
_chemical_formula_sum 'Cu8 Bi4 P4 O24'
_cell_length_a 11.799
_cell_length_b 5.124
_cell_length_c 7.823
_cell_angle_alpha 90.00
_cell_angle_beta 90.00
_cell_angle_gamma 90.00
_space_group_name_H-M_alt 'P n m a'
_space_group_IT_number 62
loop_
_space_group_symop_operation_xyz
'x,y,z'
'-x,-y,-z'
'-x+1/2,-y,z+1/2'
'x+1/2,y,-z+1/2'
'x+1/2,-y+1/2,-z+1/2'
'-x+1/2,y+1/2,z+1/2'
'-x,y+1/2,-z'
'x,-y+1/2,z'
loop_
_atom_site_label
_atom_site_type_symbol
_atom_site_fract_x
_atom_site_fract_y
_atom_site_fract_z
_atom_site_occupancy
Cu1 Cu 0.069 0.250 0.183 1
Cu2 Cu 0.089 0.250 0.814 1
Bi1 Bi 0.112 0.750 0.476 1
P1 P 0.199 0.750 0.042 1
O1 O 0.006 0.003 0.679 1
O2 O 0.126 0.001 0.009 1
O3 O 0.196 0.250 0.428 1
O4 O 0.233 0.750 0.232 1
```

Summary:
- E_form (uncorrected): -1.54 eV per atom

# 2
Sr2YCu2BiPbO8 | meta-GGA SCAN | single point on PBEsol structure

Cell and atoms, written as CIF:
```
data_Sr2YCu2BiPbO8
_chemical_formula_sum 'Sr4 Y2 Cu4 Bi2 Pb2 O16'
_cell_length_a 3.725
_cell_length_b 3.725
_cell_length_c 30.186
_cell_angle_alpha 90.00
_cell_angle_beta 90.00
_cell_angle_gamma 90.00
_space_group_name_H-M_alt 'I 4 m m'
_space_group_IT_number 107
_space_group_name_Hall 'I 4 -2'
loop_
_atom_site_label
_atom_site_type_symbol
_atom_site_fract_x
_atom_site_fract_y
_atom_site_fract_z
_atom_site_occupancy
Sr1 Sr 0.000 0.000 0.000 1
Sr2 Sr 0.000 0.000 0.232 1
Y1 Y 0.000 0.000 0.117 1
Cu1 Cu 0.000 0.000 0.561 1
Cu2 Cu 0.000 0.000 0.672 1
Bi1 Bi 0.000 0.000 0.823 1
Pb1 Pb 0.000 0.000 0.414 1
O1 O 0.000 0.000 0.317 1
O2 O 0.000 0.000 0.488 1
O3 O 0.000 0.000 0.752 1
O4 O 0.000 0.000 0.916 1
O5 O 0.000 0.500 0.071 1
O6 O 0.000 0.500 0.167 1
```

Summary:
- E_form (uncorrected): -1.98 eV per atom

# 3
Cu2Bi3Sb3O14 | meta-GGA SCAN | single point on PBEsol structure

Cell and atoms, written as CIF:
```
data_Cu2Bi3Sb3O14
_chemical_formula_sum 'Cu6 Bi9 Sb9 O42'
_cell_length_a 7.4419
_cell_length_b 7.4419
_cell_length_c 17.4114
_cell_angle_alpha 90.00
_cell_angle_beta 90.00
_cell_angle_gamma 120.00
_space_group_name_H-M_alt 'R -3 m'
_space_group_IT_number 166
_space_group_name_Hall '-R 3 2"'
loop_
_atom_site_label
_atom_site_type_symbol
_atom_site_fract_x
_atom_site_fract_y
_atom_site_fract_z
_atom_site_occupancy
Cu1 Cu 0.0000 0.0000 0.0000 1
Cu2 Cu 0.0000 0.0000 0.5000 1
Bi1 Bi 0.0000 0.5000 0.0000 1
Sb1 Sb 0.0000 0.5000 0.5000 1
O1 O 0.0000 0.0000 0.3913 1
O2 O 0.0529 0.5264 0.6113 1
O3 O 0.0696 0.5348 0.8572 1
```

Summary:
- E_form (uncorrected): -1.28 eV per atom

# 4
CuBi2Se4O12 | meta-GGA SCAN | single point on PBEsol structure

Cell and atoms, written as CIF:
```
data_CuBi2Se4O12
_chemical_formula_sum 'Cu2 Bi4 Se8 O24'
_cell_length_a 10.686
_cell_length_b 7.146
_cell_length_c 8.097
_cell_angle_alpha 90.00
_cell_angle_beta 110.40
_cell_angle_gamma 90.00
_space_group_name_H-M_alt 'P 1 21/c 1'
_space_group_IT_number 14
loop_
_space_group_symop_operation_xyz
'x,y,z'
'-x,-y,-z'
'-x,y+1/2,-z+1/2'
'x,-y+1/2,z+1/2'
loop_
_atom_site_label
_atom_site_type_symbol
_atom_site_fract_x
_atom_site_fract_y
_atom_site_fract_z
_atom_site_occupancy
Cu1 Cu 0.000 0.000 0.000 1
Bi1 Bi 0.407 0.133 0.259 1
Se1 Se 0.130 0.176 0.380 1
Se2 Se 0.312 0.673 0.360 1
O1 O 0.055 0.109 0.820 1
O2 O 0.147 0.120 0.178 1
O3 O 0.298 0.220 0.475 1
O4 O 0.319 0.617 0.569 1
O5 O 0.407 0.508 0.302 1
O6 O 0.430 0.646 0.921 1
```

Summary:
- E_form (uncorrected): -0.99 eV per atom

# 5
CuSi2BiO | meta-GGA SCAN | single point on PBEsol structure

Cell and atoms, written as CIF:
```
data_CuSi2BiO
_chemical_formula_sum 'Cu1 Si2 Bi1 O1'
_cell_length_a 4.218
_cell_length_b 4.218
_cell_length_c 4.493
_cell_angle_alpha 90.00
_cell_angle_beta 90.00
_cell_angle_gamma 90.00
_space_group_name_H-M_alt 'P 4/m m m'
_space_group_IT_number 123
_space_group_name_Hall '-P 4 2'
loop_
_atom_site_label
_atom_site_type_symbol
_atom_site_fract_x
_atom_site_fract_y
_atom_site_fract_z
_atom_site_occupancy
Cu1 Cu 0.000 0.000 0.000 1
Si1 Si 0.000 0.500 0.500 1
Bi1 Bi 0.500 0.500 0.000 1
O1 O 0.000 0.000 0.500 1
```

Summary:
- E_form (uncorrected): 0.30 eV per atom

# 6
Sr2YCu2BiO7 | meta-GGA SCAN | single point on PBEsol structure

Cell and atoms, written as CIF:
```
data_Sr2YCu2BiO7
_chemical_formula_sum 'Sr8 Y4 Cu8 Bi4 O28'
_cell_length_a 24.785
_cell_length_b 5.347
_cell_length_c 5.315
_cell_angle_alpha 90.00
_cell_angle_beta 90.00
_cell_angle_gamma 90.00
_space_group_name_H-M_alt 'I m a 2'
_space_group_IT_number 46
loop_
_space_group_symop_operation_xyz
'x,y,z'
'-x,-y,z'
'-x+1/2,y,z'
'x+1/2,-y,z'
'x+1/2,y+1/2,z+1/2'
'-x+1/2,-y+1/2,z+1/2'
'-x,y+1/2,z+1/2'
'x,-y+1/2,z+1/2'
loop_
_atom_site_label
_atom_site_type_symbol
_atom_site_fract_x
_atom_site_fract_y
_atom_site_fract_z
_atom_site_occupancy
Sr1 Sr 0.139 0.006 0.000 1
Y1 Y 0.000 0.000 0.004 1
Cu1 Cu 0.067 0.000 0.503 1
Bi1 Bi 0.250 0.007 0.524 1
O1 O 0.058 0.249 0.253 1
O2 O 0.059 0.749 0.254 1
O3 O 0.159 0.008 0.506 1
O4 O 0.250 0.091 0.935 1
```

Summary:
- E_form (uncorrected): -2.16 eV per atom

# 7
CuBiTeO | meta-GGA SCAN | single point on PBEsol structure

Cell and atoms, written as CIF:
```
data_CuBiTeO
_chemical_formula_sum 'Cu2 Bi2 Te2 O2'
_cell_length_a 3.993
_cell_length_b 3.993
_cell_length_c 9.495
_cell_angle_alpha 90.00
_cell_angle_beta 90.00
_cell_angle_gamma 90.00
_space_group_name_H-M_alt 'P 4/n m m'
_space_group_IT_number 129
loop_
_space_group_symop_operation_xyz
'x,y,z'
'-x,-y,-z'
'-y+1/2,x,z'
'y+1/2,-x,-z'
'-x+1/2,-y+1/2,z'
'x+1/2,y+1/2,-z'
'y,-x+1/2,z'
'-y,x+1/2,-z'
'x+1/2,-y,-z'
'-x+1/2,y,z'
'-y,-x,-z'
'y,x,z'
'-x,y+1/2,-z'
'x,-y+1/2,z'
'y+1/2,x+1/2,-z'
'-y+1/2,-x+1/2,z'
loop_
_atom_site_label
_atom_site_type_symbol
_atom_site_fract_x
_atom_site_fract_y
_atom_site_fract_z
_atom_site_occupancy
Cu1 Cu 0.250 0.750 0.000 1
Bi1 Bi 0.250 0.250 0.371 1
Te1 Te 0.250 0.250 0.821 1
O1 O 0.250 0.750 0.500 1
```

Summary:
- E_form (uncorrected): -0.50 eV per atom

# 8
VCuBi2O7 | meta-GGA SCAN | single point on PBEsol structure

Cell and atoms, written as CIF:
```
data_VCuBi2O7
_chemical_formula_sum 'V2 Cu2 Bi4 O14'
_cell_length_a 5.980
_cell_length_b 7.081
_cell_length_c 7.677
_cell_angle_alpha 90.35
_cell_angle_beta 107.03
_cell_angle_gamma 107.23
_space_group_name_H-M_alt 'P -1'
_space_group_IT_number 2
loop_
_space_group_symop_operation_xyz
'x,y,z'
'-x,-y,-z'
loop_
_atom_site_label
_atom_site_type_symbol
_atom_site_fract_x
_atom_site_fract_y
_atom_site_fract_z
_atom_site_occupancy
V1 V 0.117 0.268 0.423 1
Cu1 Cu 0.000 0.000 0.000 1
Cu2 Cu 0.000 0.500 0.000 1
Bi1 Bi 0.462 0.615 0.771 1
Bi2 Bi 0.474 0.873 0.211 1
O1 O 0.055 0.764 0.072 1
O2 O 0.202 0.809 0.684 1
O3 O 0.206 0.286 0.660 1
O4 O 0.249 0.498 0.370 1
O5 O 0.264 0.122 0.355 1
O6 O 0.328 0.570 0.024 1
O7 O 0.337 0.096 0.018 1
```

Summary:
- E_form (uncorrected): -1.50 eV per atom

# 9
CuBi3Os | meta-GGA SCAN | single point on PBEsol structure

Cell and atoms, written as CIF:
```
data_CuBi3Os
_chemical_formula_sum 'Cu1 Bi3 Os1'
_cell_length_a 4.985
_cell_length_b 4.985
_cell_length_c 4.985
_cell_angle_alpha 90.00
_cell_angle_beta 90.00
_cell_angle_gamma 90.00
_space_group_name_H-M_alt 'P m -3 m'
_space_group_IT_number 221
_space_group_name_Hall '-P 4 2 3'
loop_
_atom_site_label
_atom_site_type_symbol
_atom_site_fract_x
_atom_site_fract_y
_atom_site_fract_z
_atom_site_occupancy
Cu1 Cu 0.000 0.000 0.000 1
Bi1 Bi 0.000 0.000 0.500 1
Os1 Os 0.500 0.500 0.500 1
```

Summary:
- Formation energy from the elements: 1.457 eV/atom

# 10
CuBiPS2 | meta-GGA SCAN | single point on PBEsol structure

Cell and atoms, written as CIF:
```
data_CuBiPS2
_chemical_formula_sum 'Cu1 Bi1 P1 S2'
_cell_length_a 4.538
_cell_length_b 4.538
_cell_length_c 4.493
_cell_angle_alpha 90.00
_cell_angle_beta 90.00
_cell_angle_gamma 90.00
_space_group_name_H-M_alt 'P 4/m m m'
_space_group_IT_number 123
_space_group_name_Hall '-P 4 2'
loop_
_atom_site_label
_atom_site_type_symbol
_atom_site_fract_x
_atom_site_fract_y
_atom_site_fract_z
_atom_site_occupancy
Cu1 Cu 0.000 0.000 0.000 1
Bi1 Bi 0.500 0.500 0.500 1
P1 P 0.000 0.000 0.500 1
S1 S 0.000 0.500 0.000 1
```

Summary:
- E_form (uncorrected): 0.45 eV per atom

# 11
Cu2Bi4Pb2S9 | meta-GGA SCAN | single point on PBEsol structure

Cell and atoms, written as CIF:
```
data_Cu2Bi4Pb2S9
_chemical_formula_sum 'Cu8 Bi16 Pb8 S36'
_cell_length_a 11.437
_cell_length_b 3.986
_cell_length_c 33.108
_cell_angle_alpha 90.00
_cell_angle_beta 90.00
_cell_angle_gamma 90.00
_space_group_name_H-M_alt 'P n m a'
_space_group_IT_number 62
loop_
_space_group_symop_operation_xyz
'x,y,z'
'-x,-y,-z'
'-x+1/2,-y,z+1/2'
'x+1/2,y,-z+1/2'
'x+1/2,-y+1/2,-z+1/2'
'-x+1/2,y+1/2,z+1/2'
'-x,y+1/2,-z'
'x,-y+1/2,z'
loop_
_atom_site_label
_atom_site_type_symbol
_atom_site_fract_x
_atom_site_fract_y
_atom_site_fract_z
_atom_site_occupancy
Cu1 Cu 0.229 0.250 0.097 1
Cu2 Cu 0.236 0.250 0.431 1
Bi1 Bi 0.004 0.250 0.937 1
Bi2 Bi 0.007 0.250 0.275 1
Bi3 Bi 0.013 0.250 0.607 1
Bi4 Bi 0.157 0.750 0.179 1
Pb1 Pb 0.173 0.750 0.503 1
Pb2 Pb 0.183 0.750 0.834 1
S1 S 0.045 0.250 0.452 1
S2 S 0.046 0.250 0.125 1
S3 S 0.050 0.250 0.786 1
S4 S 0.115 0.750 0.980 1
S5 S 0.117 0.750 0.316 1
S6 S 0.129 0.750 0.648 1
S7 S 0.212 0.250 0.233 1
S8 S 0.215 0.250 0.900 1
S9 S 0.222 0.250 0.567 1
```

Summary:
- E_form (uncorrected): -0.34 eV per atom

# 12
Cu2Bi8Pb3Se3S13 | meta-GGA SCAN | single point on PBEsol structure

Cell and atoms, written as CIF:
```
data_Cu2Bi8Pb3Se3S13
_chemical_formula_sum 'Cu4 Bi16 Pb6 Se6 S26'
_cell_length_a 26.493
_cell_length_b 4.005
_cell_length_c 16.611
_cell_angle_alpha 90.00
_cell_angle_beta 125.94
_cell_angle_gamma 90.00
_space_group_name_H-M_alt 'C 1 m 1'
_space_group_IT_number 8
loop_
_space_group_symop_operation_xyz
'x,y,z'
'x,-y,z'
'x+1/2,y+1/2,z'
'x+1/2,-y+1/2,z'
loop_
_atom_site_label
_atom_site_type_symbol
_atom_site_fract_x
_atom_site_fract_y
_atom_site_fract_z
_atom_site_occupancy
Cu1 Cu 0.000 0.000 0.000 1
Cu2 Cu 0.093 0.000 0.975 1
Bi1 Bi 0.191 0.500 0.221 1
Bi2 Bi 0.196 0.500 0.719 1
Bi3 Bi 0.224 0.000 0.468 1
Bi4 Bi 0.234 0.500 0.006 1
Bi5 Bi 0.358 0.000 0.967 1
Bi6 Bi 0.371 0.500 0.507 1
Bi7 Bi 0.397 0.000 0.254 1
Bi8 Bi 0.402 0.000 0.754 1
Pb1 Pb 0.022 0.000 0.208 1
Pb2 Pb 0.047 0.000 0.481 1
Pb3 Pb 0.070 0.000 0.768 1
Se1 Se 0.065 0.500 0.629 1
Se2 Se 0.258 0.000 0.146 1
Se3 Se 0.335 0.500 0.827 1
S1 S 0.021 0.500 0.334 1
S2 S 0.109 0.000 0.125 1
S3 S 0.117 0.500 0.936 1
S4 S 0.149 0.500 0.332 1
S5 S 0.185 0.000 0.599 1
S6 S 0.206 0.000 0.857 1
S7 S 0.282 0.000 0.378 1
S8 S 0.312 0.500 0.596 1
S9 S 0.386 0.500 0.115 1
S10 S 0.412 0.500 0.377 1
S11 S 0.445 0.000 0.644 1
S12 S 0.476 0.000 0.040 1
S13 S 0.484 0.500 0.851 1
```

Summary:
- E_form (uncorrected): -0.35 eV per atom

# 13
CuBiPd3 | meta-GGA SCAN | single point on PBEsol structure

Cell and atoms, written as CIF:
```
data_CuBiPd3
_chemical_formula_sum 'Cu1 Bi1 Pd3'
_cell_length_a 4.552
_cell_length_b 4.552
_cell_length_c 4.552
_cell_angle_alpha 90.00
_cell_angle_beta 90.00
_cell_angle_gamma 90.00
_space_group_name_H-M_alt 'P m -3 m'
_space_group_IT_number 221
_space_group_name_Hall '-P 4 2 3'
loop_
_atom_site_label
_atom_site_type_symbol
_atom_site_fract_x
_atom_site_fract_y
_atom_site_fract_z
_atom_site_occupancy
Cu1 Cu 0.000 0.000 0.000 1
Bi1 Bi 0.500 0.500 0.500 1
Pd1 Pd 0.000 0.000 0.500 1
```

Summary:
- Formation energy from the elements: 0.453 eV/atom

# 14
CuSnBiPd2 | meta-GGA SCAN | single point on PBEsol structure

Cell and atoms, written as CIF:
```
data_CuSnBiPd2
_chemical_formula_sum 'Cu1 Sn1 Bi1 Pd2'
_cell_length_a 5.040
_cell_length_b 5.040
_cell_length_c 4.776
_cell_angle_alpha 90.00
_cell_angle_beta 90.00
_cell_angle_gamma 90.00
_space_group_name_H-M_alt 'P 4/m m m'
_space_group_IT_number 123
_space_group_name_Hall '-P 4 2'
loop_
_atom_site_label
_atom_site_type_symbol
_atom_site_fract_x
_atom_site_fract_y
_atom_site_fract_z
_atom_site_occupancy
Cu1 Cu 0.000 0.000 0.000 1
Sn1 Sn 0.500 0.500 0.000 1
Bi1 Bi 0.000 0.000 0.500 1
Pd1 Pd 0.000 0.500 0.500 1
```

Summary:
- Formation energy from the elements: 0.597 eV/atom

# 15
Pr5CuBi3 | meta-GGA SCAN | single point on PBEsol structure

Cell and atoms, written as CIF:
```
data_Pr5CuBi3
_chemical_formula_sum 'Pr10 Cu2 Bi6'
_cell_length_a 9.5778
_cell_length_b 9.5778
_cell_length_c 6.5236
_cell_angle_alpha 90.00
_cell_angle_beta 90.00
_cell_angle_gamma 120.00
_space_group_name_H-M_alt 'P 63/m c m'
_space_group_IT_number 193
_space_group_name_Hall '-P 6c 2'
loop_
_atom_site_label
_atom_site_type_symbol
_atom_site_fract_x
_atom_site_fract_y
_atom_site_fract_z
_atom_site_occupancy
Pr1 Pr 0.0000 0.2579 0.2500 1
Pr2 Pr 0.3333 0.6667 0.0000 1
Cu1 Cu 0.0000 0.0000 0.0000 1
Bi1 Bi 0.0000 0.3835 0.7500 1
```

Summary:
- Formation energy from the elements: -0.829 eV/atom

no.,magnetic moment (μB per formula unit),final energy (eV per cell)
1,0.0,-688.82
2,0.0,-673.33
3,2.0,-1480.18
4,1.0,-692.58
5,0.0,-118.54
6,0.0,-1012.35
7,0.0,-278.53
8,0.0,-499.88
9,1.2,-315.53
10,0.0,-121.19
11,0.0,-2354.59
12,0.0,-2163.83
13,0.0,-189.84
14,0.0,-192.26
15,0.0,-950.06